1.
# CdAs2SeI | the Alexandria database | PBE-GGA | relaxed
data_CdAs2SeI
_chemical_formula_sum 'Cd1 As2 Se1 I1'
_symmetry_space_group_name_H-M 'P 1'
_symmetry_Int_Tables_number 1
_cell_length_a 5.3471
_cell_length_b 5.3471
_cell_length_c 5.0871
_cell_angle_alpha 90.00
_cell_angle_beta 90.00
_cell_angle_gamma 90.00
loop_
_symmetry_equiv_pos_as_xyz
'x,y,z'
loop_
_atom_site_label
_atom_site_type_symbol
_atom_site_fract_x
_atom_site_fract_y
_atom_site_fract_z
Cd1 Cd 0.0000 0.0000 0.0000
As1 As 0.0000 0.5000 0.0000
As2 As 0.5000 0.0000 0.0000
Se1 Se 0.0000 0.0000 0.5000
I1 I 0.5000 0.5000 0.5000
# density of states at the Fermi level	6.35	states/eV per cell
# relative energy among the computed polymorphs	0.0	meV per atom
# space-group type	P4/mmm
# density	5.344	Mg/m³
# formation energy without anion corrections	393	kJ/mol of formula units

=====

2.
# NiCl5 | the Alexandria database | PBE-GGA | relaxed
data_NiCl5
_chemical_formula_sum 'Ni1 Cl5'
_symmetry_space_group_name_H-M 'P 1'
_symmetry_Int_Tables_number 1
_cell_length_a 9.1397
_cell_length_b 9.1397
_cell_length_c 2.5582
_cell_angle_alpha 90.00
_cell_angle_beta 90.00
_cell_angle_gamma 120.00
loop_
_symmetry_equiv_pos_as_xyz
'x,y,z'
loop_
_atom_site_label
_atom_site_type_symbol
_atom_site_fract_x
_atom_site_fract_y
_atom_site_fract_z
Ni1 Ni 0.0000 0.0000 0.0000
Cl1 Cl 0.0000 0.7823 0.5000
Cl2 Cl 0.2177 0.2177 0.5000
Cl3 Cl 0.3333 0.6667 0.0000
Cl4 Cl 0.6667 0.3333 0.0000
Cl5 Cl 0.7823 0.0000 0.5000
# density of states at the Fermi level	7.08	states/eV per cell
# relative energy among the computed polymorphs	299.3	meV per atom
# space-group type	P-62m
# density	2.117	Mg/m³
# formation energy without anion corrections	42	kJ/mol of formula units